1.
Crystalline Pm7Ho3Tm at its relaxed geometry, computed with GGA-PBE.

Lattice parameters (Å, degrees): 7.0594 5.6252 9.9987 90.00 110.47 90.00
Space group P2/m (No. 10)
One atom of each set of equivalent atoms:
Pm  0.0000  0.0000  0.0000 (multiplicity 1)
Pm  0.1451  0.5000  0.2922 (multiplicity 2)
Pm  0.3215  0.5000  0.6388 (multiplicity 2)
Pm  0.4147  0.0000  0.8287 (multiplicity 2)
Ho  0.0000  0.0000  0.5000 (multiplicity 1)
Ho  0.2793  0.5000  0.9998 (multiplicity 2)
Tm  0.5000  0.0000  0.5000 (multiplicity 1)

magnetization = 0.0 μB/f.u.


2.
Crystalline Pm7Ho3Tm at its relaxed geometry, computed with GGA-PBE.

Lattice parameters (Å, degrees): 12.7538 11.2945 5.8687 90.00 117.35 90.00
Space group C2/m (No. 12)
One atom of each set of equivalent atoms:
Pm  0.0000  0.0000  0.0000 (multiplicity 2)
Pm  0.1922  0.2894  0.6919 (multiplicity 8)
Pm  0.2096  0.5000  0.2081 (multiplicity 4)
Ho  0.0000  0.2950  0.0000 (multiplicity 4)
Ho  0.0000  0.5000  0.5000 (multiplicity 2)
Tm  0.0000  0.0000  0.5000 (multiplicity 2)

magnetization = 0.0 μB/f.u.


Quick one: most stable of them? 1


1.
Crystalline Pm3Ho4Tm at its relaxed geometry, computed with GGA-PBE.

Lattice parameters (Å, degrees): 3.5678 6.1646 11.8289 94.75 98.67 90.06
Space group P-1 (No. 2)
One atom of each set of equivalent atoms:
Pm  0.0000  0.0000  0.0000 (multiplicity 1)
Pm  0.1252  0.3759  0.2500 (multiplicity 2)
Ho  0.2497  0.7497  0.4996 (multiplicity 2)
Ho  0.3736  0.1233  0.7476 (multiplicity 2)
Tm  0.5000  0.5000  0.0000 (multiplicity 1)

magnetization = 0.0 μB/f.u.


2.
Crystalline Pm3Ho4Tm at its relaxed geometry, computed with GGA-PBE.

Lattice parameters (Å, degrees): 11.5347 6.1953 7.1680 90.00 90.00 90.00
Space group Pmn2_1 (No. 31)
One atom of each set of equivalent atoms:
Pm  0.0000  0.1674  0.0000 (multiplicity 2)
Pm  0.2487  0.4979  0.5000 (multiplicity 4)
Ho  0.0000  0.1666  0.5007 (multiplicity 2)
Ho  0.0000  0.6668  0.2512 (multiplicity 2)
Ho  0.2501  0.0002  0.2502 (multiplicity 4)
Tm  0.0000  0.6670  0.7489 (multiplicity 2)

magnetization = 0.0 μB/f.u.


Quick one: most stable of them? 2


1.
Crystalline PmHo5Tm5 at its relaxed geometry, computed with GGA-PBE.

Lattice parameters (Å, degrees): 18.6490 5.8361 6.8841 90.00 110.53 90.00
Space group C2/m (No. 12)
One atom of each set of equivalent atoms:
Pm  0.0000  0.0000  0.0000 (multiplicity 2)
Ho  0.0000  0.5000  0.0000 (multiplicity 2)
Ho  0.1795  0.0000  0.9350 (multiplicity 4)
Ho  0.1798  0.0000  0.4274 (multiplicity 4)
Tm  0.0000  0.0000  0.5000 (multiplicity 2)
Tm  0.1249  0.5000  0.6316 (multiplicity 4)
Tm  0.1693  0.5000  0.1750 (multiplicity 4)

magnetization = 0.0 μB/f.u.


2.
Crystalline PmHo5Tm5 at its relaxed geometry, computed with GGA-PBE.

Lattice parameters (Å, degrees): 6.7545 6.9213 8.2235 76.44 77.01 72.93
Space group P-1 (No. 2)
One atom of each set of equivalent atoms:
Pm  0.0000  0.0000  0.0000 (multiplicity 1)
Ho  0.0000  0.5000  0.0000 (multiplicity 1)
Ho  0.1587  0.6282  0.3585 (multiplicity 2)
Ho  0.3259  0.7630  0.6558 (multiplicity 2)
Tm  0.2083  0.1370  0.3199 (multiplicity 2)
Tm  0.3531  0.2489  0.7160 (multiplicity 2)
Tm  0.5000  0.5000  0.0000 (multiplicity 1)

magnetization = 0.0 μB/f.u.


Quick one: most stable of them? 2


1.
Crystalline PmHo4Tm7 at its relaxed geometry, computed with GGA-PBE.

Lattice parameters (Å, degrees): 11.9853 5.7843 12.5140 90.00 118.00 90.00
Space group C2/m (No. 12)
One atom of each set of equivalent atoms:
Pm  0.0000  0.0000  0.0000 (multiplicity 2)
Ho  0.1324  0.5000  0.7745 (multiplicity 4)
Ho  0.2483  0.0000  0.6828 (multiplicity 4)
Tm  0.0000  0.5000  0.0000 (multiplicity 2)
Tm  0.0594  0.0000  0.3284 (multiplicity 4)
Tm  0.1354  0.5000  0.5032 (multiplicity 4)
Tm  0.2114  0.0000  0.9231 (multiplicity 4)

magnetization = 0.0 μB/f.u.


2.
Crystalline PmHo4Tm7 at its relaxed geometry, computed with GGA-PBE.

Lattice parameters (Å, degrees): 6.6713 6.9062 8.6267 79.29 76.69 76.35
Space group P-1 (No. 2)
One atom of each set of equivalent atoms:
Pm  0.0000  0.0000  0.0000 (multiplicity 1)
Ho  0.1878  0.6067  0.3354 (multiplicity 2)
Ho  0.3456  0.2321  0.6828 (multiplicity 2)
Tm  0.0000  0.5000  0.0000 (multiplicity 1)
Tm  0.1803  0.1080  0.3688 (multiplicity 2)
Tm  0.3228  0.7369  0.6699 (multiplicity 2)
Tm  0.4801  0.2510  0.0259 (multiplicity 2)

magnetization = 0.0 μB/f.u.


Quick one: most stable of them? 2


1.
Crystalline Pm8HoTm2 at its relaxed geometry, computed with GGA-PBE.

Lattice parameters (Å, degrees): 5.6458 8.2359 15.9921 90.00 90.00 90.00
Space group Immm (No. 71)
One atom of each set of equivalent atoms:
Pm  0.0000  0.0000  0.1636 (multiplicity 4)
Pm  0.0000  0.2044  0.3636 (multiplicity 8)
Pm  0.0000  0.2936  0.0000 (multiplicity 4)
Ho  0.0000  0.5000  0.5000 (multiplicity 2)
Tm  0.0000  0.5000  0.2008 (multiplicity 4)

magnetization = 0.0 μB/f.u.


2.
Crystalline Pm8HoTm2 at its relaxed geometry, computed with GGA-PBE.

Lattice parameters (Å, degrees): 18.2627 6.7722 6.1831 90.00 104.79 90.00
Space group C2/m (No. 12)
One atom of each set of equivalent atoms:
Pm  0.0336  0.0000  0.2798 (multiplicity 4)
Pm  0.1004  0.5000  0.5161 (multiplicity 4)
Pm  0.1576  0.2344  0.9935 (multiplicity 8)
Ho  0.0000  0.5000  0.0000 (multiplicity 2)
Tm  0.2207  0.0000  0.5469 (multiplicity 4)

magnetization = 0.0 μB/f.u.


Quick one: most stable of them? 1


1.
Crystalline Pm2HoTm7 at its relaxed geometry, computed with GGA-PBE.

Lattice parameters (Å, degrees): 6.0978 7.0378 7.8813 77.11 74.99 73.34
Space group P-1 (No. 2)
One atom of each set of equivalent atoms:
Pm  0.2012  0.2988  0.1011 (multiplicity 2)
Ho  0.0000  0.0000  0.5000 (multiplicity 1)
Tm  0.0000  0.5000  0.5000 (multiplicity 1)
Tm  0.1994  0.8000  0.1012 (multiplicity 2)
Tm  0.3994  0.1011  0.6976 (multiplicity 2)
Tm  0.3998  0.6004  0.6985 (multiplicity 2)

magnetization = 0.0 μB/f.u.


2.
Crystalline Pm2HoTm7 at its relaxed geometry, computed with GGA-PBE.

Lattice parameters (Å, degrees): 6.4085 28.5244 3.4890 90.00 90.00 90.00
Space group Cmmm (No. 65)
One atom of each set of equivalent atoms:
Pm  0.0000  0.2088  0.0000 (multiplicity 4)
Ho  0.0000  0.5000  0.5000 (multiplicity 2)
Tm  0.0000  0.0000  0.0000 (multiplicity 2)
Tm  0.0000  0.3162  0.5000 (multiplicity 4)
Tm  0.2461  0.4023  0.0000 (multiplicity 8)

magnetization = 0.0 μB/f.u.


Quick one: most stable of them? 1


1.
Crystalline PmHo8Tm2 at its relaxed geometry, computed with GGA-PBE.

Lattice parameters (Å, degrees): 19.0239 6.8729 5.4941 90.00 92.82 90.00
Space group C2/m (No. 12)
One atom of each set of equivalent atoms:
Pm  0.0000  0.0000  0.0000 (multiplicity 2)
Ho  0.0471  0.5000  0.2377 (multiplicity 4)
Ho  0.1341  0.2663  0.7322 (multiplicity 8)
Ho  0.1888  0.0000  0.2334 (multiplicity 4)
Tm  0.2155  0.5000  0.2503 (multiplicity 4)

magnetization = 0.0 μB/f.u.


2.
Crystalline PmHo8Tm2 at its relaxed geometry, computed with GGA-PBE.

Lattice parameters (Å, degrees): 5.4610 8.0753 15.8053 90.00 90.00 90.00
Space group Immm (No. 71)
One atom of each set of equivalent atoms:
Pm  0.0000  0.0000  0.0000 (multiplicity 2)
Ho  0.0000  0.2047  0.5000 (multiplicity 4)
Ho  0.0000  0.2934  0.1396 (multiplicity 8)
Ho  0.0000  0.5000  0.3362 (multiplicity 4)
Tm  0.0000  0.0000  0.3004 (multiplicity 4)

magnetization = 0.0 μB/f.u.


Quick one: most stable of them? 2


1.
Crystalline Pm4Ho2Tm5 at its relaxed geometry, computed with GGA-PBE.

Lattice parameters (Å, degrees): 23.1671 3.4969 8.7367 90.00 93.03 90.00
Space group C2/m (No. 12)
One atom of each set of equivalent atoms:
Pm  0.0448  0.0000  0.3483 (multiplicity 4)
Pm  0.1827  0.5000  0.4256 (multiplicity 4)
Ho  0.1347  0.0000  0.0818 (multiplicity 4)
Tm  0.0000  0.5000  0.0000 (multiplicity 2)
Tm  0.0984  0.0000  0.7179 (multiplicity 4)
Tm  0.2219  0.5000  0.8382 (multiplicity 4)

magnetization = 0.0 μB/f.u.


2.
Crystalline Pm4Ho2Tm5 at its relaxed geometry, computed with GGA-PBE.

Lattice parameters (Å, degrees): 19.0454 5.6214 6.5601 90.00 91.03 90.00
Space group C2/m (No. 12)
One atom of each set of equivalent atoms:
Pm  0.0218  0.0000  0.2850 (multiplicity 4)
Pm  0.1942  0.5000  0.0736 (multiplicity 4)
Ho  0.0988  0.5000  0.5552 (multiplicity 4)
Tm  0.0000  0.5000  0.0000 (multiplicity 2)
Tm  0.1305  0.0000  0.8875 (multiplicity 4)
Tm  0.2091  0.0000  0.4016 (multiplicity 4)

magnetization = 0.0 μB/f.u.


Quick one: most stable of them? 1